1.
PBE Na3Ho2HfS6, relaxed; E_form (uncorrected) = -1697 meV per atom; total energy = -5.683 eV/atom; size of the total moment = 0.000 μB per cell
1.0
6.6750 -0.0010 -0.0018
-3.3368 5.7812 -0.0018
-1.1153 -1.9311 6.7209
Na Ho Hf S
3 2 1 6
Direct
0.1689 0.8311 0.5000
0.8311 0.1689 0.5000
0.5000 0.5000 0.5000
0.3335 0.6665 0.0000
0.6665 0.3335 0.0000
0.0000 0.0000 0.0000
0.9248 0.6067 0.7748
0.7572 0.7572 0.2242
0.0752 0.3933 0.2252
0.6067 0.9248 0.7748
0.2428 0.2428 0.7758
0.3933 0.0752 0.2252

2.
PBE Na3Ho3HfS8, relaxed; E_form (uncorrected) = -1800 meV per atom; total energy = -5.844 eV/atom; size of the total moment = 0.000 μB per cell
1.0
7.8090 0.0000 0.0000
-3.9045 6.7631 -0.0252
0.0000 -4.4861 6.7718
Na Ho Hf S
3 3 1 8
Direct
0.0000 0.0000 0.0000
0.0000 0.5000 0.0000
0.5000 0.5000 0.0000
0.5000 0.0000 0.5000
0.5000 0.5000 0.5000
0.0000 0.5000 0.5000
0.0000 0.0000 0.5000
0.2581 0.5162 0.2744
0.7419 0.4838 0.7256
0.7705 0.5410 0.2847
0.2295 0.4590 0.7153
0.7705 0.0141 0.2847
0.2295 0.9859 0.7153
0.2436 0.0141 0.2847
0.7564 0.9859 0.7153

3.
PBE Na2HoHfSe4, relaxed; E_form (uncorrected) = -1452 meV per atom; total energy = -5.341 eV/atom; size of the total moment = 0.000 μB per cell
1.0
-1.2474 -1.6733 -3.3569
-4.9023 -3.3588 3.4960
-2.8316 6.5139 -2.1948
Na Ho Hf Se
2 1 1 4
Direct
0.5000 0.0000 0.5000
0.0000 0.5000 0.5000
0.0000 0.0000 0.0000
0.5000 0.5000 0.0000
0.5000 0.2556 0.2290
0.5000 0.7444 0.7710
0.0000 0.2706 0.7766
0.0000 0.7294 0.2234

4.
PBE Na4Ho3HfSe8, relaxed; E_form (uncorrected) = -1572 meV per atom; total energy = -5.125 eV/atom; size of the total moment = 0.000 μB per cell
1.0
-2.2326 -5.0337 -5.9359
6.9055 2.1046 -4.3821
0.8895 -2.7863 7.5505
Na Ho Hf Se
4 3 1 8
Direct
0.5000 0.0000 0.0000
0.5000 0.0000 0.5000
0.0000 0.0000 0.0000
0.0000 0.0000 0.5000
0.5000 0.5000 0.0000
0.5000 0.5000 0.5000
0.0000 0.5000 0.5000
0.0000 0.5000 0.0000
0.2353 0.7259 0.9907
0.2353 0.7259 0.4706
0.2558 0.2677 0.5117
0.7554 0.7259 0.9907
0.2446 0.2741 0.0093
0.7442 0.7323 0.4883
0.7647 0.2741 0.5294
0.7647 0.2741 0.0093

5.
PBE Na2HoHf2Se6, relaxed; E_form (uncorrected) = -1441 meV per atom; total energy = -5.808 eV/atom; size of the total moment = 0.000 μB per cell
1.0
-2.1021 2.9270 5.7144
-4.4692 -2.6034 -4.3461
2.5439 -6.4337 2.9382
Na Ho Hf Se
2 1 2 6
Direct
0.8379 0.1621 0.0000
0.1621 0.8379 0.0000
0.0000 0.0000 0.5000
0.3331 0.6669 0.5000
0.6669 0.3331 0.5000
0.7213 0.7213 0.7216
0.0720 0.4200 0.7215
0.2787 0.2787 0.2784
0.4200 0.0720 0.7215
0.9280 0.5800 0.2785
0.5800 0.9280 0.2785

6.
PBE Na3Ho2HfTe6, relaxed; E_form (uncorrected) = -1126 meV per atom; total energy = -4.619 eV/atom; size of the total moment = 0.000 μB per cell
1.0
-4.1232 0.9467 -6.1224
-2.7600 -3.7557 5.8015
-0.4851 7.4377 2.9887
Na Ho Hf Te
3 2 1 6
Direct
0.1716 0.8284 0.5000
0.8284 0.1716 0.5000
0.5000 0.5000 0.5000
0.3341 0.6659 0.0000
0.6659 0.3341 0.0000
0.0000 0.0000 0.0000
0.9241 0.6042 0.7717
0.7576 0.7576 0.2290
0.0759 0.3958 0.2283
0.6042 0.9241 0.7717
0.2424 0.2424 0.7710
0.3958 0.0759 0.2283

7.
PBE Na3Ho3HfTe8, relaxed; E_form (uncorrected) = -1197 meV per atom; total energy = -4.715 eV/atom; size of the total moment = 0.000 μB per cell
1.0
-0.0955 7.2431 4.7556
-4.8368 -6.7906 2.3508
9.0916 -0.5797 1.0655
Na Ho Hf Te
3 3 1 8
Direct
0.0000 0.0000 0.0000
0.0000 0.5000 0.0000
0.5000 0.5000 0.0000
0.5000 0.0000 0.5000
0.5000 0.5000 0.5000
0.0000 0.5000 0.5000
0.0000 0.0000 0.5000
0.2560 0.5119 0.2682
0.7440 0.4881 0.7318
0.7660 0.5321 0.2775
0.2340 0.4679 0.7225
0.7661 0.0112 0.2776
0.2339 0.9888 0.7224
0.2451 0.0112 0.2776
0.7549 0.9888 0.7224

8.
PBE HoHfNb, relaxed; total energy = -7.973 eV/atom; size of the total moment = 0.000 μB per cell; relative energy among the computed polymorphs = 16 kJ/mol of formula units; energy of formation from the pure elements = 0.228 eV/atom
1.0
-2.2401 -0.6208 2.3288
0.9187 -0.2084 3.1527
-2.8126 14.5536 3.4987
Hf Ho Nb
2 2 2
Direct
0.0944 0.0944 0.7169
0.9056 0.9056 0.2831
0.6322 0.6322 0.1033
0.3678 0.3678 0.8967
0.1884 0.1884 0.4347
0.8116 0.8116 0.5653

9.
PBE HoHf2Nb, relaxed; total energy = -8.296 eV/atom; size of the total moment = 0.000 μB per cell; relative energy among the computed polymorphs = 89 kJ/mol of formula units; energy of formation from the pure elements = 0.343 eV/atom
1.0
-1.6826 0.1816 -2.6775
-0.9889 -2.6467 -1.4317
-10.1177 -0.5216 4.4492
Nb Hf Ho
1 2 1
Direct
0.5000 0.5000 0.5000
0.0954 0.0954 0.7137
0.9046 0.9046 0.2863
0.0000 0.0000 0.0000

10.
PBE HoHfNb, relaxed; total energy = -8.029 eV/atom; size of the total moment = 0.000 μB per cell; relative energy among the computed polymorphs = 0 kJ/mol of formula units; energy of formation from the pure elements = 0.171 eV/atom
1.0
3.6569 0.0000 0.0000
0.0000 3.6569 0.0000
-1.8284 -1.8284 5.3083
Nb Hf Ho
1 1 1
Direct
0.6944 0.6944 0.3889
0.3022 0.3022 0.6043
0.0034 0.0034 0.0068

11.
PBE HoHf2Nb, relaxed; total energy = -8.525 eV/atom; size of the total moment = 0.000 μB per cell; relative energy among the computed polymorphs = 0 kJ/mol of formula units; energy of formation from the pure elements = 0.113 eV/atom
1.0
3.5532 0.0000 0.0000
0.0000 3.5532 0.0000
0.0000 0.0000 7.3744
Nb Hf Ho
1 2 1
Direct
0.5000 0.5000 0.0000
0.0000 0.0000 0.7969
0.0000 0.0000 0.2031
0.5000 0.5000 0.5000

12.
PBE NdHo2Hf, relaxed; total energy = -5.586 eV/atom; size of the total moment = 0.000 μB per cell; relative energy among the computed polymorphs = 104 kJ/mol of formula units; energy of formation from the pure elements = 0.383 eV/atom
1.0
3.3529 0.0000 0.0000
1.6765 2.9037 0.0000
1.6765 0.9679 12.0767
Nd Hf Ho
1 1 2
Direct
0.5000 0.5000 0.5000
0.0000 0.0000 0.0000
0.0853 0.0853 0.7442
0.9147 0.9147 0.2558

13.
PBE NdHo2Hf, relaxed; total energy = -5.810 eV/atom; size of the total moment = 0.000 μB per cell; relative energy among the computed polymorphs = 17 kJ/mol of formula units; energy of formation from the pure elements = 0.159 eV/atom
1.0
-2.8320 -3.9953 -0.3398
1.8800 -0.9607 -4.3737
3.4932 -2.6533 2.0843
Nd Hf Ho
1 1 2
Direct
0.5000 0.5000 0.5000
0.5000 0.0000 0.0000
0.0000 0.0000 0.5000
0.0000 0.5000 0.0000

14.
PBE NdHo2Hf, relaxed; total energy = -5.855 eV/atom; size of the total moment = 0.000 μB per cell; relative energy among the computed polymorphs = 0 kJ/mol of formula units; energy of formation from the pure elements = 0.114 eV/atom
1.0
-3.1424 -1.2914 0.5954
-0.9383 -2.9886 -1.4438
2.6388 -7.0192 8.6942
Nd Ho Hf
1 2 1
Direct
0.5002 0.5002 0.4995
0.0766 0.0766 0.7702
0.2568 0.2568 0.2296
0.6664 0.6664 0.0007

15.
PBE NdHo2Hf, relaxed; total energy = -5.746 eV/atom; size of the total moment = 0.000 μB per cell; relative energy among the computed polymorphs = 42 kJ/mol of formula units; energy of formation from the pure elements = 0.223 eV/atom
1.0
-1.1053 1.6110 3.4575
-3.7837 -0.0074 -1.2062
-0.9161 -6.8863 2.9158
Nd Hf Ho
1 1 2
Direct
0.5000 0.5000 0.5000
0.5000 0.5000 0.0000
0.0000 0.0000 0.7853
0.0000 0.0000 0.2147

16.
PBE Nd2HoHfP4, relaxed; total energy = -7.201 eV/atom; size of the total moment = 0.000 μB per cell; energy of formation from the pure elements = -1.487 eV/atom
1.0
-2.8413 2.1895 1.7328
-3.7664 -5.6987 1.0251
4.1262 1.0212 5.4755
Nd Ho Hf P
2 1 1 4
Direct
0.5000 0.0000 0.5000
0.0000 0.5000 0.5000
0.5000 0.5000 0.0000
0.0000 0.0000 0.0000
0.5000 0.2330 0.2257
0.5000 0.7670 0.7743
0.0000 0.2463 0.7688
0.0000 0.7537 0.2312

17.
PBE NdHo2HfP4, relaxed; total energy = -7.174 eV/atom; size of the total moment = 0.000 μB per cell; energy of formation from the pure elements = -1.485 eV/atom
1.0
-2.0701 -0.6181 -3.3028
-5.1080 -2.6791 3.7030
-0.9800 6.7290 -0.6451
Nd Ho Hf P
1 2 1 4
Direct
0.5000 0.5000 0.0000
0.5000 0.0000 0.5000
0.0000 0.5000 0.5000
0.0000 0.0000 0.0000
0.5000 0.2330 0.2403
0.5000 0.7670 0.7597
0.0000 0.2349 0.7498
0.0000 0.7651 0.2502

18.
PBE NdHoHfSc, relaxed; total energy = -6.146 eV/atom; size of the total moment = 0.002 μB per cell; energy of formation from the pure elements = 0.262 eV/atom
1.0
5.3751 0.0000 0.0000
2.6876 4.6550 0.0000
2.6876 1.5517 4.3888
Sc Nd Hf Ho
1 1 1 1
Direct
0.0000 0.0000 0.0000
0.2500 0.2500 0.2500
0.7500 0.7500 0.7500
0.5000 0.5000 0.5000

19.
PBE Ho2HfNi, relaxed; total energy = -5.938 eV/atom; size of the total moment = 0.000 μB per cell; relative energy among the computed polymorphs = 151 kJ/mol of formula units; energy of formation from the pure elements = 0.285 eV/atom
1.0
-2.8361 1.2558 1.1823
-2.9103 -1.2466 -0.9973
-1.6794 -6.6822 7.7290
Ni Hf Ho
1 1 2
Direct
0.5000 0.5000 0.5000
0.0000 0.0000 0.0000
0.1045 0.1045 0.6864
0.8955 0.8955 0.3136

20.
PBE HoHf2Ni9, relaxed; total energy = -6.836 eV/atom; size of the total moment = 0.000 μB per cell; energy of formation from the pure elements = -0.460 eV/atom
1.0
-2.0476 3.6609 2.4765
-0.5368 -0.3271 4.8304
6.2618 4.4089 3.4506
Ho Hf Ni
1 2 9
Direct
0.0000 0.0000 0.0000
0.8601 0.8601 0.4196
0.1399 0.1399 0.5804
0.6662 0.6662 0.0013
0.3338 0.3338 0.9987
0.5000 0.5000 0.5000
0.4119 0.4119 0.2570
0.9192 0.4119 0.2570
0.4119 0.9192 0.2570
0.5881 0.5881 0.7430
0.5881 0.0808 0.7430
0.0808 0.5881 0.7430

21.
PBE Ho2HfNi, relaxed; total energy = -6.329 eV/atom; size of the total moment = 0.000 μB per cell; relative energy among the computed polymorphs = 0 kJ/mol of formula units; energy of formation from the pure elements = -0.106 eV/atom
1.0
-0.6900 3.1444 -1.0314
-2.9075 -1.0793 -1.3452
-3.6780 1.4254 6.8060
Ni Hf Ho
1 1 2
Direct
0.5000 0.5000 0.0000
0.5000 0.5000 0.5000
0.0000 0.0000 0.7906
0.0000 0.0000 0.2094

22.
PBE HoHf2Ni, relaxed; total energy = -7.643 eV/atom; size of the total moment = 0.001 μB per cell; energy of formation from the pure elements = -0.077 eV/atom
1.0
-1.5984 0.1313 2.8377
2.8252 -0.2672 1.6037
0.7103 7.7569 0.0412
Ni Hf Ho
1 2 1
Direct
0.5000 0.5000 0.0000
0.0000 0.0000 0.8032
0.0000 0.0000 0.1968
0.5000 0.5000 0.5000

23.
PBE HoHfNiOs, relaxed; total energy = -8.304 eV/atom; size of the total moment = 0.000 μB per cell; energy of formation from the pure elements = -0.419 eV/atom
1.0
4.6654 0.0000 0.0000
2.3327 4.0404 0.0000
2.3327 1.3468 3.8093
Hf Os Ho Ni
1 1 1 1
Direct
0.0000 0.0000 0.0000
0.7500 0.7500 0.7500
0.5000 0.5000 0.5000
0.2500 0.2500 0.2500

24.
PBE HoHfNiPt, relaxed; total energy = -7.300 eV/atom; size of the total moment = 0.000 μB per cell; energy of formation from the pure elements = -0.712 eV/atom
1.0
4.7273 0.0000 0.0000
2.3636 4.0939 0.0000
2.3636 1.3646 3.8598
Ni Hf Ho Pt
1 1 1 1
Direct
0.2500 0.2500 0.2500
0.5000 0.5000 0.5000
0.0000 0.0000 0.0000
0.7500 0.7500 0.7500

25.
PBE HoHfNiRh, relaxed; total energy = -7.503 eV/atom; size of the total moment = 0.000 μB per cell; energy of formation from the pure elements = -0.587 eV/atom
1.0
-2.5547 3.7977 -1.0007
-1.8620 0.5126 -4.2686
-4.6312 -0.3827 -0.5970
Rh Hf Ho Ni
1 1 1 1
Direct
0.2500 0.2500 0.2500
0.0000 0.0000 0.0000
0.5000 0.5000 0.5000
0.7500 0.7500 0.7500

26.
PBE HoHfZnNi, relaxed; total energy = -5.628 eV/atom; size of the total moment = 0.000 μB per cell; energy of formation from the pure elements = -0.231 eV/atom
1.0
-0.2833 4.2982 1.9668
-0.9356 0.4318 4.6218
3.3798 1.4710 2.9725
Ni Zn Hf Ho
1 1 1 1
Direct
0.5000 0.5000 0.5000
0.0000 0.0000 0.0000
0.2500 0.2500 0.2500
0.7500 0.7500 0.7500